[1]
# Ca2CuAu, relaxed, DFT GGA-PBE
# Energy of formation from the pure elements   -0.492 eV per atom
# D(E_F)   3.67 states/eV/cell
data_Ca2CuAu
_cell_length_a 4.3567
_cell_length_b 4.2012
_cell_length_c 10.9619
_cell_angle_alpha 90.00
_cell_angle_beta 90.00
_cell_angle_gamma 90.00
_space_group_name_H-M_alt 'A m m 2'
_space_group_IT_number 38
_space_group_name_Hall 'A 2 -2'
loop_
_atom_site_label
_atom_site_type_symbol
_atom_site_fract_x
_atom_site_fract_y
_atom_site_fract_z
Ca1 Ca 0.0000 0.0000 0.0000
Ca2 Ca 0.5000 0.0000 0.2841
Cu1 Cu 0.5000 0.0000 0.5723
Au1 Au 0.0000 0.0000 0.7121

---

[2]
# NaLa3Pm4Te8, relaxed, DFT GGA-PBE
# Uncorrected formation energy   -1.4644 eV/atom
# D(E_F)   19.86 states/eV/cell
data_NaLa3Pm4Te8
_cell_length_a 15.6455
_cell_length_b 9.0317
_cell_length_c 9.0600
_cell_angle_alpha 90.00
_cell_angle_beta 125.15
_cell_angle_gamma 90.00
_space_group_name_H-M_alt 'C 1 2/m 1'
_space_group_IT_number 12
_space_group_name_Hall '-C 2y'
loop_
_atom_site_label
_atom_site_type_symbol
_atom_site_fract_x
_atom_site_fract_y
_atom_site_fract_z
Na1 Na 0.0000 0.0000 0.0000
La1 La 0.0000 0.5000 0.0000
La2 La 0.2500 0.2500 0.0000
Pm1 Pm 0.0000 0.0000 0.5000
Pm2 Pm 0.0000 0.5000 0.5000
Pm3 Pm 0.2500 0.2500 0.5000
Te1 Te 0.0025 0.2466 0.2538
Te2 Te 0.2476 0.0000 0.7432
Te3 Te 0.2498 0.0000 0.2545

---

[3]
# Nb2Al3Ga2, relaxed, DFT GGA-PBE
# Energy of formation from the pure elements   -0.171 eV per atom
# D(E_F)   6.85 states/eV/cell
data_Nb2Al3Ga2
_cell_length_a 9.8071
_cell_length_b 3.7537
_cell_length_c 6.5478
_cell_angle_alpha 90.00
_cell_angle_beta 103.25
_cell_angle_gamma 90.00
_space_group_name_H-M_alt 'C 1 2/m 1'
_space_group_IT_number 12
_space_group_name_Hall '-C 2y'
loop_
_atom_site_label
_atom_site_type_symbol
_atom_site_fract_x
_atom_site_fract_y
_atom_site_fract_z
Nb1 Nb 0.1346 0.0000 0.4255
Al1 Al 0.0000 0.0000 0.0000
Al2 Al 0.2019 0.5000 0.1473
Ga1 Ga 0.0877 0.5000 0.7249

---

[4]
# Be2GaIr2, relaxed, DFT GGA-PBE
# Energy of formation from the pure elements   -0.388 eV per atom
# Energy relative to the lowest polymorph listed for this composition   63 meV/atom
# D(E_F)   3.85 states/eV/cell
data_Be2GaIr2
_cell_length_a 3.0283
_cell_length_b 3.0283
_cell_length_c 13.2708
_cell_angle_alpha 90.00
_cell_angle_beta 90.00
_cell_angle_gamma 90.00
_space_group_name_H-M_alt 'I 4/m m m'
_space_group_IT_number 139
_space_group_name_Hall '-I 4 2'
loop_
_atom_site_label
_atom_site_type_symbol
_atom_site_fract_x
_atom_site_fract_y
_atom_site_fract_z
Be1 Be 0.0000 0.5000 0.2500
Ga1 Ga 0.0000 0.0000 0.0000
Ir1 Ir 0.0000 0.0000 0.3847

---

[5]
# BeCr3Fe, relaxed, DFT GGA-PBE
# Energy of formation from the pure elements   1.316 eV per atom
# Energy relative to the lowest polymorph listed for this composition   332 meV/atom
# D(E_F)   5.04 states/eV/cell
data_BeCr3Fe
_cell_length_a 4.1889
_cell_length_b 4.1889
_cell_length_c 4.1889
_cell_angle_alpha 90.00
_cell_angle_beta 90.00
_cell_angle_gamma 90.00
_space_group_name_H-M_alt 'P m -3 m'
_space_group_IT_number 221
_space_group_name_Hall '-P 4 2 3'
loop_
_atom_site_label
_atom_site_type_symbol
_atom_site_fract_x
_atom_site_fract_y
_atom_site_fract_z
Be1 Be 0.0000 0.0000 0.0000
Cr1 Cr 0.0000 0.5000 0.5000
Fe1 Fe 0.5000 0.5000 0.5000

---

[6]
# Cs3Ce2ZrS6, relaxed, DFT GGA-PBE
# Uncorrected formation energy   -1.6253 eV/atom
# D(E_F)   31.33 states/eV/cell
data_Cs3Ce2ZrS6
_cell_length_a 7.1194
_cell_length_b 12.3295
_cell_length_c 8.4199
_cell_angle_alpha 90.00
_cell_angle_beta 106.39
_cell_angle_gamma 90.00
_space_group_name_H-M_alt 'C 1 2/m 1'
_space_group_IT_number 12
_space_group_name_Hall '-C 2y'
loop_
_atom_site_label
_atom_site_type_symbol
_atom_site_fract_x
_atom_site_fract_y
_atom_site_fract_z
Cs1 Cs 0.0000 0.0000 0.0000
Cs2 Cs 0.0000 0.3320 0.0000
Ce1 Ce 0.0000 0.1665 0.5000
Zr1 Zr 0.0000 0.5000 0.5000
S1 S 0.2180 0.3430 0.6826
S2 S 0.2473 0.0000 0.6837

---

[7]
# TaTl2CdO6, relaxed, DFT GGA-PBE
# Uncorrected formation energy   -1.4421 eV/atom
# D(E_F)   7.67 states/eV/cell
data_TaTl2CdO6
_cell_length_a 5.7469
_cell_length_b 5.7469
_cell_length_c 15.1715
_cell_angle_alpha 90.00
_cell_angle_beta 90.00
_cell_angle_gamma 120.00
_space_group_name_H-M_alt 'R 3'
_space_group_IT_number 146
_space_group_name_Hall 'R 3'
loop_
_atom_site_label
_atom_site_type_symbol
_atom_site_fract_x
_atom_site_fract_y
_atom_site_fract_z
Ta1 Ta 0.0000 0.0000 0.0000
Tl1 Tl 0.0000 0.0000 0.2806
Tl2 Tl 0.0000 0.0000 0.7770
Cd1 Cd 0.0000 0.0000 0.5066
O1 O 0.0084 0.4133 0.7284
O2 O 0.0605 0.6768 0.5740

---

[8]
# Tl4CrAu, relaxed, DFT GGA-PBE
# Energy of formation from the pure elements   0.599 eV per atom
# D(E_F)   11.89 states/eV/cell
data_Tl4CrAu
_cell_length_a 8.8211
_cell_length_b 8.8211
_cell_length_c 8.8211
_cell_angle_alpha 90.00
_cell_angle_beta 90.00
_cell_angle_gamma 90.00
_space_group_name_H-M_alt 'F -4 3 m'
_space_group_IT_number 216
_space_group_name_Hall 'F -4 2 3'
loop_
_atom_site_label
_atom_site_type_symbol
_atom_site_fract_x
_atom_site_fract_y
_atom_site_fract_z
Tl1 Tl 0.1249 0.1249 0.1249
Cr1 Cr 0.0000 0.0000 0.5000
Au1 Au 0.2500 0.2500 0.7500